Record 1
A geometry-optimized Nd2SmHo structure. Source: Alexandria, functional GGA-PBE.

Properties
The formation energy is 13 meV per atom.

Lattice parameters (Å, degrees): 3.6323 3.6323 35.3888 90.00 90.00 120.00
Space group R-3m (No. 166, hexagonal axes)
Asymmetric unit:
Nd 0.0000 0.0000 0.2490 x6
Sm 0.0000 0.0000 0.0000 x3
Ho 0.0000 0.0000 0.5000 x3

Record 2
A geometry-optimized ErNp2 structure. Source: Alexandria, functional GGA-PBE.

Properties
The formation energy is 413 meV per atom.

Lattice parameters (Å, degrees): 8.167 8.167 8.167 90.00 90.00 90.00
Space group Fd-3m (No. 227, origin choice 2)
Asymmetric unit:
Er 0.125 0.125 0.125 x8
Np 0.000 0.000 0.500 x16

Record 3
A geometry-optimized TlP3N structure. Source: Alexandria, functional GGA-PBE.

Properties
As for the uncorrected formation energy: 5.1 eV/f.u.

Lattice parameters (Å, degrees): 4.292 4.292 4.292 90.00 90.00 90.00
Space group Pm-3m (No. 221)
Asymmetric unit:
Tl 0.000 0.000 0.000 x1
P 0.000 0.500 0.500 x3
N 0.500 0.500 0.500 x1

Record 4
A geometry-optimized CaY2F8 structure. Source: Alexandria, functional GGA-PBE.

Properties
As for the uncorrected formation energy: -42.9 eV/f.u.

Lattice parameters (Å, degrees): 3.709 6.370 11.104 90.00 90.00 90.00
Space group Immm (No. 71)
Asymmetric unit:
Ca 0.000 0.000 0.000 x2
Y 0.000 0.000 0.321 x4
F 0.000 0.186 0.500 x4
F 0.000 0.283 0.163 x8
F 0.000 0.500 0.351 x4

Record 5
A geometry-optimized BaCd structure. Source: Alexandria, functional GGA-PBE.

Properties
The formation energy is -151 meV per atom.

Lattice parameters (Å, degrees): 7.041 7.041 7.085 90.00 90.00 90.00
Space group P4_2/mnm (No. 136)
Asymmetric unit:
Ba 0.201 0.201 0.000 x4
Cd 0.181 0.181 0.500 x4

Record 6
A geometry-optimized OsRuN structure. Source: Alexandria, functional GGA-PBE.

Properties
As for the uncorrected formation energy: 1.4 eV/f.u.

Lattice parameters (Å, degrees): 4.785 2.751 5.586 90.00 95.87 90.00
Space group Pm (No. 6)
Asymmetric unit:
Os 0.000 0.000 0.000 x1
Os 0.329 0.500 0.748 x1
Ru 0.460 0.500 0.259 x1
Ru 0.956 0.000 0.456 x1
N 0.572 0.000 0.522 x1
N 0.692 0.500 0.959 x1